(1)
First-principles (PBE with a Hubbard U) data for an optimized crystal structure of CsV2SiO8, as listed in Alexandria.

The structure in POSCAR format:
```
CsV2SiO8
1.0
5.387 0.000 0.000
-2.693 4.665 0.000
0.000 0.000 8.460
Cs O V Si
1 8 2 1
Direct
0.000 0.000 0.000
0.308 0.156 0.378
0.156 0.848 0.622
0.848 0.692 0.378
0.333 0.667 0.884
0.844 0.152 0.378
0.152 0.308 0.622
0.667 0.333 0.116
0.692 0.844 0.622
0.667 0.333 0.313
0.333 0.667 0.687
0.000 0.000 0.500
```

Results
N(E_F), states/eV per cell: 5.9
Total energy, eV/atom: -7.025

(2)
First-principles (PBE with a Hubbard U) data for an optimized crystal structure of CsVSiO4, as listed in Alexandria.

The structure in POSCAR format:
```
CsVSiO4
1.0
5.107 0.000 -0.965
0.000 5.533 0.000
-3.312 0.000 8.658
V Cs O Si
2 2 8 2
Direct
0.779 0.750 0.465
0.221 0.250 0.535
0.366 0.250 0.108
0.634 0.750 0.892
0.033 0.476 0.648
0.495 0.250 0.447
0.033 0.024 0.648
0.328 0.750 0.241
0.967 0.524 0.352
0.967 0.976 0.352
0.672 0.250 0.759
0.505 0.750 0.553
0.191 0.750 0.365
0.809 0.250 0.635
```

Results
N(E_F), states/eV per cell: 0.0
Total energy, eV/atom: -7.043